This record from Alexandria describes a relaxed structure of ReP2. The functional is PBE.

Crystal system   monoclinic
Electronic total energy   -7.841 eV per atom
Formation energy   -85 meV/atom

Cell lengths 5.732, 5.349, 3.109 Å; angles 90.00, 105.37, 90.00 degrees
Positions (direct):
Re  0.500  0.391  0.500
Re  0.500  0.891  0.000
P  0.796  0.555  0.144
P  0.204  0.555  0.856
P  0.796  0.055  0.644
P  0.204  0.055  0.356

---

This record from Alexandria describes a relaxed structure of Re2P. The functional is PBE.

Crystal system   hexagonal
Electronic total energy   -9.645 eV per atom
Formation energy   457 meV/atom

Cell lengths 4.405, 4.405, 5.039 Å; angles 90.00, 90.00, 120.00 degrees
Positions (direct):
Re  0.000  0.000  0.000
Re  0.000  0.000  0.500
Re  0.333  0.667  0.750
Re  0.667  0.333  0.250
P  0.333  0.667  0.250
P  0.667  0.333  0.750

---

This record from Alexandria describes a relaxed structure of Re2P. The functional is PBE.

Crystal system   cubic
Electronic total energy   -9.803 eV per atom
Formation energy   299 meV/atom

Cell lengths 3.993, 3.993, 3.993 Å; angles 60.00, 60.00, 60.00 degrees
Positions (direct):
Re  0.750  0.750  0.750
Re  0.250  0.250  0.250
P  0.000  0.000  0.000

---

This record from Alexandria describes a relaxed structure of Re2P5. The functional is PBE.

Crystal system   triclinic
Electronic total energy   -7.788 eV per atom
Formation energy   -367 meV/atom

Cell lengths 8.281, 8.394, 7.379 Å; angles 112.21, 87.05, 110.22 degrees
Positions (direct):
P  0.040  0.632  0.137
P  0.960  0.368  0.863
P  0.835  0.535  0.320
P  0.165  0.465  0.680
P  0.085  0.047  0.398
P  0.915  0.953  0.602
P  0.417  0.521  0.839
P  0.583  0.479  0.161
P  0.549  0.637  0.624
P  0.451  0.363  0.376
P  0.415  0.952  0.107
P  0.585  0.048  0.893
P  0.747  0.404  0.719
P  0.253  0.596  0.281
P  0.307  0.055  0.534
P  0.693  0.945  0.466
P  0.157  0.740  0.730
P  0.843  0.260  0.270
P  0.781  0.832  0.023
P  0.219  0.168  0.977
Re  0.858  0.710  0.696
Re  0.142  0.290  0.304
Re  0.520  0.750  0.178
Re  0.480  0.250  0.822
Re  0.088  0.902  0.057
Re  0.912  0.098  0.943
Re  0.422  0.857  0.574
Re  0.578  0.143  0.426

---

This record from Alexandria describes a relaxed structure of Re2P. The functional is PBE.

Crystal system   trigonal
Electronic total energy   -10.070 eV per atom
Formation energy   32 meV/atom

Cell lengths 4.153, 4.153, 2.828 Å; angles 90.00, 90.00, 120.00 degrees
Positions (direct):
Re  0.333  0.667  0.232
Re  0.667  0.333  0.768
P  0.000  0.000  0.000

---

This record from Alexandria describes a relaxed structure of Re2P. The functional is PBE.

Crystal system   orthorhombic
Electronic total energy   -9.723 eV per atom
Formation energy   379 meV/atom

Cell lengths 3.809, 4.850, 5.126 Å; angles 90.00, 90.00, 90.00 degrees
Positions (direct):
Re  0.000  0.233  0.610
Re  0.000  0.767  0.390
Re  0.500  0.733  0.890
Re  0.500  0.267  0.110
P  0.000  0.000  0.000
P  0.500  0.500  0.500

---

This record from Alexandria describes a relaxed structure of Re2P3. The functional is PBE.

Crystal system   orthorhombic
Electronic total energy   -8.259 eV per atom
Formation energy   -34 meV/atom

Cell lengths 8.857, 7.563, 5.569 Å; angles 83.34, 58.01, 38.65 degrees
Positions (direct):
Re  0.399  0.442  0.224
Re  0.935  0.224  0.442
Re  0.808  0.851  0.315
Re  0.026  0.315  0.851
P  0.224  0.452  0.721
P  0.604  0.721  0.452
P  0.798  0.026  0.646
P  0.529  0.646  0.026
P  0.839  0.161  0.161
P  0.089  0.411  0.411

---

This record from Alexandria describes a relaxed structure of Re7P. The functional is PBE.

Crystal system   cubic
Electronic total energy   -11.209 eV per atom
Formation energy   360 meV/atom

Cell lengths 5.509, 5.509, 5.509 Å; angles 60.00, 60.00, 60.00 degrees
Positions (direct):
Re  0.500  0.500  0.000
Re  0.500  0.000  0.500
Re  0.500  0.000  0.000
Re  0.000  0.000  0.500
Re  0.000  0.500  0.000
Re  0.000  0.500  0.500
Re  0.500  0.500  0.500
P  0.000  0.000  0.000